1.
A geometry-optimized TaPdW3 structure, computed with GGA-PBE.

Cell and atoms, written as POSCAR:
```
TaPdW3
1.0
4.742 0.000 0.000
0.000 4.742 0.000
0.000 0.000 4.742
Ta Pd W
1 1 3
Cartesian
0.000 0.000 0.000 Ta
2.371 2.371 2.371 Pd
0.000 0.000 2.371 W
0.000 2.371 0.000 W
2.371 0.000 0.000 W
```

Computed properties:
Density, g/cm³: 13.1
V, Å³/atom: 21.3
Polymorph energy (0 for the lowest one), meV/atom: 44
Formation energy from the elements, meV per atom: 2270



2.
A geometry-optimized Ta2PdW structure, computed with GGA-PBE.

Cell and atoms, written as POSCAR:
```
Ta2PdW
1.0
-1.964 1.964 9.528
1.964 -1.964 9.528
1.964 1.964 -9.528
Ta Pd W
4 2 2
Cartesian
2.947 0.955 -2.382 Ta
0.955 0.982 2.382 Ta
-0.982 1.009 7.146 Ta
1.009 0.982 11.910 Ta
1.964 0.000 4.764 Pd
0.000 0.000 9.528 Pd
0.000 0.000 0.000 W
0.000 1.964 4.764 W
```

Computed properties:
Density, g/cm³: 14.7
V, Å³/atom: 18.4
Formation energy from the elements, meV per atom: 717



3.
A geometry-optimized Ta2PdW structure, computed with GGA-PBE.

Cell and atoms, written as POSCAR:
```
Ta2PdW
1.0
3.285 0.000 0.000
0.000 3.285 0.000
0.000 0.000 6.299
Ta Pd W
2 1 1
Cartesian
0.000 0.000 1.515 Ta
0.000 0.000 4.784 Ta
1.643 1.643 3.149 Pd
1.643 1.643 0.000 W
```

Computed properties:
Density, g/cm³: 15.9
V, Å³/atom: 17.0
Formation energy from the elements, meV per atom: -149



- Look up the density of the first one.
  13.1 g/cm³



- What is the density in the first record?
  13.1 g/cm³



Copy entry 1 word for word.
A geometry-optimized TaPdW3 structure, computed with GGA-PBE.

Cell and atoms, written as POSCAR:
```
TaPdW3
1.0
4.742 0.000 0.000
0.000 4.742 0.000
0.000 0.000 4.742
Ta Pd W
1 1 3
Cartesian
0.000 0.000 0.000 Ta
2.371 2.371 2.371 Pd
0.000 0.000 2.371 W
0.000 2.371 0.000 W
2.371 0.000 0.000 W
```

Computed properties:
Density, g/cm³: 13.1
V, Å³/atom: 21.3
Polymorph energy (0 for the lowest one), meV/atom: 44
Formation energy from the elements, meV per atom: 2270